# PBE+U Na3Pm2VO6, relaxed
# - Total moment: 2.000 μB per formula unit
# - Raw total energy: -0.242 Ha/atom
data_Na3Pm2VO6
_chemical_formula_sum 'Na6 Pm4 V2 O12'
_cell_length_a 5.881
_cell_length_b 10.211
_cell_length_c 5.899
_cell_angle_alpha 90.00
_cell_angle_beta 108.82
_cell_angle_gamma 90.00
_space_group_name_H-M_alt 'C 1 2/m 1'
_space_group_IT_number 12
_space_group_name_Hall '-C 2y'
loop_
_atom_site_label
_atom_site_type_symbol
_atom_site_fract_x
_atom_site_fract_y
_atom_site_fract_z
Na1 Na 0.000 0.000 0.000
Na2 Na 0.000 0.347 0.000
Pm1 Pm 0.000 0.168 0.500
V1 V 0.000 0.500 0.500
O1 O 0.224 0.347 0.714
O2 O 0.234 0.500 0.297